Record 1
Density functional theory data (PBE) for Tm3Tl3InTe8 after structural relaxation.

abc: 15.1050 8.7042 9.6061
angles: 90.00 121.66 90.00
With the nearest neighbours (Å) after each atom.
Space group C2/m (No. 12)
Inequivalent atoms, fractional coordinates:
Tm 0.0000 0.0000 0.0000 x2  6 Te 3.05-3.06
Tm 0.2500 0.2500 0.0000 x4  6 Te 3.05-3.06
Tl 0.0000 0.5000 0.5000 x2  6 Te 3.44-3.45
Tl 0.2500 0.2500 0.5000 x4  6 Te 3.44-3.45
In 0.0000 0.5000 0.0000 x2  6 Te 3.04
Te 0.0131 0.2504 0.7897 x8  1 In 3.04, 2 Tm 3.05
Te 0.2363 0.5000 0.2101 x4  1 In 3.04, 2 Tm 3.05
Te 0.2377 0.0000 0.2132 x4  3 Tm 3.06

Calculated values
- E_form (uncorrected): -12.3 eV per formula unit


Record 2
Density functional theory data (PBE) for TmBeSiPt3 after structural relaxation.

abc: 6.4081 11.5182 5.4851
angles: 90.00 90.00 90.00
With the nearest neighbours (Å) after each atom.
Space group Cmcm (No. 63)
Inequivalent atoms, fractional coordinates:
Tm 0.0000 0.2174 0.2500 x4  2 Si 2.94, 1 Be 2.95, 8 Pt 3.00-3.24
Be 0.0000 0.4735 0.2500 x4  5 Pt 2.27-2.34
Si 0.0000 0.1255 0.7500 x4  5 Pt 2.28-2.45
Pt 0.0000 0.3237 0.7500 x4  1 Si 2.28, 1 Be 2.34
Pt 0.2216 0.0000 0.0000 x8  2 Be 2.27, 2 Si 2.45

Calculated values
- E_form (uncorrected): -5.1 eV per formula unit


Record 3
Density functional theory data (PBE) for Pm4GaSiTe2 after structural relaxation.

abc: 7.4051 4.3040 7.8323
angles: 90.00 108.53 90.00
With the nearest neighbours (Å) after each atom.
Space group P2/m (No. 10)
Inequivalent atoms, fractional coordinates:
Pm 0.2373 0.0000 0.2269 x2  2 Si 2.98, 1 Ga 3.02, 3 Te 3.17-3.22
Pm 0.2510 0.5000 0.7657 x2  1 Si 3.00, 2 Ga 3.04, 3 Te 3.16-3.19
Ga 0.5000 0.0000 0.0000 x1  6 Pm 3.02-3.04
Si 0.0000 0.5000 0.0000 x1  6 Pm 2.98-3.00
Te 0.0000 0.0000 0.5000 x1  6 Pm 3.16-3.17
Te 0.5000 0.5000 0.5000 x1  6 Pm 3.19-3.22

Calculated values
- E_form (uncorrected): -8.2 eV per formula unit


Record 4
Density functional theory data (PBE) for K4Tb3PuO8 after structural relaxation.

abc: 7.0543 7.0543 18.8068
angles: 90.00 90.00 120.00
With the nearest neighbours (Å) after each atom.
Space group R-3m (No. 166, hexagonal axes)
Inequivalent atoms, fractional coordinates:
K 0.0000 0.0000 0.0000 x3  6 O 2.81
K 0.0000 0.5000 0.0000 x9  6 O 2.83-2.84
Tb 0.0000 0.5000 0.5000 x9  6 O 2.34-2.35
Pu 0.0000 0.0000 0.5000 x3  6 O 2.37
O 0.0000 0.0000 0.2288 x6  3 Tb 2.35
O 0.0034 0.5017 0.7710 x18  2 Tb 2.34, 1 Pu 2.37

Calculated values
- E_form (uncorrected): -42.3 eV per formula unit


Record 5
Density functional theory data (PBE) for NdZrZnIn after structural relaxation.

abc: 7.2402 7.2402 7.2402
angles: 90.00 90.00 90.00
With the nearest neighbours (Å) after each atom.
Space group F-43m (No. 216)
Inequivalent atoms, fractional coordinates:
Nd 0.0000 0.0000 0.0000 x4  4 Zn 3.14, 4 In 3.14
Zr 0.0000 0.0000 0.5000 x4  4 In 3.14, 4 Zn 3.14
Zn 0.2500 0.2500 0.2500 x4  4 Zr 3.14, 4 Nd 3.14
In 0.2500 0.2500 0.7500 x4  4 Zr 3.14, 4 Nd 3.14

Calculated values
- VASP energy: -73.0 eV for the cell shown


Record 6
Density functional theory data (PBE) for Ta2CoAs after structural relaxation.

abc: 6.8809 6.8809 5.5856
angles: 90.00 90.00 90.00
With the nearest neighbours (Å) after each atom.
Space group I-42d (No. 122)
Inequivalent atoms, fractional coordinates:
Ta 0.2291 0.2500 0.1250 x8  2 Co 2.44, 2 As 2.63
Co 0.0000 0.0000 0.0000 x4  4 Ta 2.44
As 0.0000 0.0000 0.5000 x4  4 Ta 2.63, 2 Co 2.79

Calculated values
- VASP energy: -139.8 eV for the cell shown


Record 7
Density functional theory data (PBE) for In2NiGeI after structural relaxation.

abc: 5.2892 5.2892 4.5325
angles: 90.00 90.00 90.00
With the nearest neighbours (Å) after each atom.
Space group P4/mmm (No. 123)
Inequivalent atoms, fractional coordinates:
In 0.0000 0.5000 0.0000 x2  2 Ni 2.64
Ni 0.0000 0.0000 0.0000 x1  2 Ge 2.27
Ge 0.0000 0.0000 0.5000 x1  2 Ni 2.27
I 0.5000 0.5000 0.5000 x1  8 In 3.48, 4 Ge 3.74

Calculated values
- E_form (uncorrected): -0.6 eV per formula unit


Record 8
Density functional theory data (PBE) for Ac2CuP3Rh12 after structural relaxation.

abc: 8.4825 8.4825 15.8441
angles: 90.00 90.00 120.00
With the nearest neighbours (Å) after each atom.
Space group R-3m (No. 166, hexagonal axes)
Inequivalent atoms, fractional coordinates:
Ac 0.0000 0.0000 0.1106 x6  3 Rh 2.82
Cu 0.0000 0.0000 0.5000 x3  6 Rh 2.45
P 0.0000 0.5000 0.0000 x9  6 Rh 2.20-2.30
Rh 0.0053 0.5026 0.1390 x18  1 P 2.20, 1 Cu 2.45
Rh 0.0581 0.5291 0.3573 x18  2 P 2.30

Calculated values
- VASP energy: -361.2 eV for the cell shown


Record 9
Density functional theory data (PBE) for Hf3N2O3 after structural relaxation.

abc: 3.9559 10.6570 10.7470
angles: 90.00 90.00 90.00
With the nearest neighbours (Å) after each atom.
Space group Cmc2_1 (No. 36)
Inequivalent atoms, fractional coordinates:
Hf 0.0000 0.1361 0.0000 x4  1 O 2.03, 3 N 2.04-2.13
Hf 0.0000 0.1368 0.3862 x4  2 N 2.05-2.22, 4 O 2.07-2.25
Hf 0.0000 0.1847 0.6955 x4  4 O 2.06-2.25, 2 N 2.07-2.20
N 0.0000 0.0474 0.8322 x4  3 Hf 2.04-2.07
N 0.0000 0.2938 0.5218 x4  4 Hf 2.13-2.22
O 0.0000 0.0436 0.5639 x4  3 Hf 2.03-2.15
O 0.0000 0.2462 0.2077 x4  3 Hf 2.11-2.25
O 0.0000 0.3095 0.8648 x4  3 Hf 2.07-2.25

Calculated values
- E_form (uncorrected): -21.5 eV per formula unit
- ΔE to the lowest computed polymorph: 71 meV/atom


Record 10
Density functional theory data (PBE) for Pm2Pr6Nd3Dy after structural relaxation.

abc: 6.3865 11.0646 12.1786
angles: 90.00 100.11 90.00
With the nearest neighbours (Å) after each atom.
Space group C2/m (No. 12)
Inequivalent atoms, fractional coordinates:
Pm 0.0000 0.1667 0.0000 x4  6 Pr 3.66, 3 Pm 3.69, 3 Dy 3.69
Pr 0.2491 0.3338 0.2481 x8  1 Dy 3.65, 2 Pm 3.66, 6 Pr 3.68-3.69, 3 Nd 3.69-3.70
Pr 0.2502 0.0000 0.2483 x4  1 Dy 3.66, 2 Pm 3.66, 6 Pr 3.68-3.69, 3 Nd 3.69-3.70
Nd 0.0000 0.0000 0.5000 x2  6 Nd 3.69, 6 Pr 3.69-3.70
Nd 0.0000 0.3334 0.5000 x4  6 Nd 3.69, 6 Pr 3.69-3.70
Dy 0.0000 0.5000 0.0000 x2  6 Pr 3.65-3.66, 6 Pm 3.69

Calculated values
- VASP energy: -113.9 eV for the cell shown


Record 11
Density functional theory data (PBE) for AcCeEr2Bi4 after structural relaxation.

abc: 7.9464 4.6090 7.9817
angles: 90.00 109.52 90.00
With the nearest neighbours (Å) after each atom.
Space group P2/m (No. 10)
Inequivalent atoms, fractional coordinates:
Ac 0.0000 0.0000 0.0000 x1  6 Bi 3.36-3.37
Ce 0.0000 0.5000 0.5000 x1  6 Bi 3.29-3.30
Er 0.5000 0.0000 0.5000 x1  6 Bi 3.14-3.15
Er 0.5000 0.5000 0.0000 x1  6 Bi 3.22
Bi 0.2647 0.0000 0.7478 x2  3 Er 3.14-3.22, 2 Ce 3.30, 1 Ac 3.36
Bi 0.2698 0.5000 0.2640 x2  3 Er 3.15-3.22, 1 Ce 3.29, 2 Ac 3.37

Calculated values
- VASP energy: -41.4 eV for the cell shown


Record 12
Density functional theory data (PBE) for TaHgOs after structural relaxation.

abc: 3.0182 3.0182 6.9175
angles: 90.00 90.00 120.00
With the nearest neighbours (Å) after each atom.
Space group P3m1 (No. 156)
Inequivalent atoms, fractional coordinates:
Ta 0.0000 0.0000 0.0000 x1  3 Os 2.62
Hg 0.6667 0.3333 0.3630 x1  3 Os 3.01, 6 Hg 3.02, 3 Ta 3.06
Os 0.3333 0.6667 0.7180 x1  3 Ta 2.62

Calculated values
- ΔE to the lowest computed polymorph: 119 meV/atom


Record 13
Density functional theory data (PBE) for Pr8ZnSb2 after structural relaxation.

abc: 19.6166 4.9909 7.3868
angles: 90.00 99.38 90.00
With the nearest neighbours (Å) after each atom.
Space group C2/m (No. 12)
Inequivalent atoms, fractional coordinates:
Pr 0.0114 0.0000 0.2731 x4  2 Zn 3.03, 1 Sb 3.31
Pr 0.0936 0.5000 0.9979 x4  2 Sb 3.45, 8 Pr 3.62-3.75, 1 Zn 3.83
Pr 0.1588 0.5000 0.5270 x4  1 Zn 3.09, 3 Sb 3.22-3.28
Pr 0.2157 0.0000 0.8461 x4  3 Sb 3.30-3.42, 4 Pr 3.49
Zn 0.0000 0.5000 0.5000 x2  6 Pr 3.03-3.09
Sb 0.1797 0.0000 0.2669 x4  9 Pr 3.22-3.45

Calculated values
- E_form (uncorrected): -4.5 eV per formula unit


Record 14
Density functional theory data (PBE) for AcTbCu after structural relaxation.

abc: 3.6959 3.6959 12.7487
angles: 90.00 90.00 90.00
With the nearest neighbours (Å) after each atom.
Space group I4mm (No. 107)
Inequivalent atoms, fractional coordinates:
Ac 0.0000 0.0000 0.0000 x2  4 Cu 3.37, 1 Tb 3.51, 4 Ac 3.70
Tb 0.0000 0.0000 0.2755 x2  4 Cu 2.96
Cu 0.0000 0.0000 0.6668 x2  4 Tb 2.96

Calculated values
- ΔE to the lowest computed polymorph: 0 meV/atom


Record 15
Density functional theory data (PBE) for Ga4Ag8Hg after structural relaxation.

abc: 9.5219 3.9835 12.3984
angles: 90.00 94.44 90.00
With the nearest neighbours (Å) after each atom.
Space group C2/m (No. 12)
Inequivalent atoms, fractional coordinates:
Ga 0.1242 0.0000 0.1668 x4  9 Ag 2.85-3.16, 2 Hg 3.04
Ga 0.1501 0.5000 0.5413 x4  9 Ag 2.83-2.99, 3 Ga 2.96-2.99
Ag 0.0442 0.0000 0.3909 x4  6 Ga 2.86-2.97, 6 Ag 2.89-3.00
Ag 0.0684 0.5000 0.7662 x4  4 Ga 2.87-2.98, 7 Ag 2.93-3.01, 1 Hg 3.02
Ag 0.1984 0.0000 0.9159 x4  3 Ga 2.85-3.16, 5 Ag 2.93-2.99, 3 Hg 2.98-2.99
Ag 0.2373 0.5000 0.3150 x4  5 Ga 2.83-2.99, 7 Ag 2.92-3.01
Hg 0.0000 0.5000 0.0000 x2  8 Ag 2.98-3.02, 4 Ga 3.04

Calculated values
- VASP energy: -69.9 eV for the cell shown


Record 16
Density functional theory data (PBE) for Nd2ZnCu2Pd5 after structural relaxation.

abc: 9.5199 9.5199 3.9136
angles: 90.00 90.00 90.00
With the nearest neighbours (Å) after each atom.
Space group P4/mbm (No. 127)
Inequivalent atoms, fractional coordinates:
Nd 0.1777 0.3223 0.0000 x4  3 Cu 2.72-2.89
Zn 0.0000 0.0000 0.0000 x2  8 Pd 2.82
Cu 0.1203 0.6203 0.0000 x4  6 Pd 2.54-2.63, 1 Nd 2.72
Pd 0.0000 0.5000 0.5000 x2  4 Cu 2.54
Pd 0.0656 0.7971 0.5000 x8  2 Cu 2.63, 2 Zn 2.82, 3 Pd 2.87-2.90

Calculated values
- VASP energy: -101.5 eV for the cell shown


Record 17
Density functional theory data (PBE) for TbPm2HoSc5 after structural relaxation.

abc: 8.3244 8.3244 14.5211
angles: 90.00 90.00 90.00
With the nearest neighbours (Å) after each atom.
Space group I4/mcm (No. 140)
Inequivalent atoms, fractional coordinates:
Tb 0.0000 0.0000 0.2500 x4  10 Sc 3.40-3.63
Pm 0.1198 0.3802 0.0000 x8  1 Pm 2.82, 2 Sc 2.83
Ho 0.0000 0.5000 0.2500 x4  4 Sc 2.97
Sc 0.0000 0.0000 0.0000 x4  4 Pm 3.32, 8 Sc 3.59, 2 Tb 3.63
Sc 0.2106 0.2894 0.3622 x16  1 Pm 2.83, 1 Ho 2.97

Calculated values
- VASP energy: -191.6 eV for the cell shown


Record 18
Density functional theory data (PBE) for ScCuAs2C after structural relaxation.

abc: 5.0716 5.0716 4.2043
angles: 90.00 90.00 90.00
With the nearest neighbours (Å) after each atom.
Space group P4/mmm (No. 123)
Inequivalent atoms, fractional coordinates:
Sc 0.0000 0.0000 0.0000 x1  2 C 2.10
Cu 0.5000 0.5000 0.5000 x1  8 As 3.29, 4 C 3.59
As 0.0000 0.5000 0.0000 x2  2 Sc 2.54
C 0.0000 0.0000 0.5000 x1  2 Sc 2.10

Calculated values
- VASP energy: -22.9 eV for the cell shown